# Ca2Sb4PtRh3 | Alexandria | PBE | relaxed
data_Ca2Sb4PtRh3
_symmetry_space_group_name_H-M 'P -4 m 2'
_symmetry_Int_Tables_number 115
_cell_length_a 4.563
_cell_length_b 4.563
_cell_length_c 10.603
_cell_angle_alpha 90.00
_cell_angle_beta 90.00
_cell_angle_gamma 90.00
loop_
_symmetry_equiv_pos_as_xyz
'x,y,z'
'y,-x,-z'
'-x,-y,z'
'-y,x,-z'
'-x,y,z'
'-y,-x,-z'
'x,-y,z'
'y,x,-z'
loop_
_atom_site_label
_atom_site_type_symbol
_atom_site_fract_x
_atom_site_fract_y
_atom_site_fract_z
Ca1 Ca 0.000 0.500 0.245
Sb1 Sb 0.000 0.000 0.500
Sb2 Sb 0.000 0.500 0.869
Sb3 Sb 0.500 0.500 0.500
Pt1 Pt 0.500 0.500 0.000
Rh1 Rh 0.000 0.000 0.000
Rh2 Rh 0.000 0.500 0.626
# - Total magnetization: 0.000 μB per cell
# - Electronic total energy: -0.4067 Ry per atom

---

# ZrZn3Te | Alexandria | PBE | relaxed
data_ZrZn3Te
_symmetry_space_group_name_H-M 'P m -3 m'
_symmetry_Int_Tables_number 221
_symmetry_space_group_name_Hall '-P 4 2 3'
_cell_length_a 5.061
_cell_length_b 5.061
_cell_length_c 5.061
_cell_angle_alpha 90.00
_cell_angle_beta 90.00
_cell_angle_gamma 90.00
loop_
_atom_site_label
_atom_site_type_symbol
_atom_site_fract_x
_atom_site_fract_y
_atom_site_fract_z
Zr1 Zr 0.000 0.000 0.000
Zn1 Zn 0.000 0.500 0.500
Te1 Te 0.500 0.500 0.500
# - Total magnetization: 0.000 μB per cell
# - Distance to the lowest polymorph of the same formula: 140 meV/atom

---

# Pu3Ag3AuSe8 | Alexandria | PBE | relaxed
data_Pu3Ag3AuSe8
_symmetry_space_group_name_H-M 'C 1 2/m 1'
_symmetry_Int_Tables_number 12
_cell_length_a 13.576
_cell_length_b 8.328
_cell_length_c 7.994
_cell_angle_alpha 90.00
_cell_angle_beta 123.52
_cell_angle_gamma 90.00
loop_
_symmetry_equiv_pos_as_xyz
'x,y,z'
'-x,-y,-z'
'-x,y,-z'
'x,-y,z'
'x+1/2,y+1/2,z'
'-x+1/2,-y+1/2,-z'
'-x+1/2,y+1/2,-z'
'x+1/2,-y+1/2,z'
loop_
_atom_site_label
_atom_site_type_symbol
_atom_site_fract_x
_atom_site_fract_y
_atom_site_fract_z
Pu1 Pu 0.000 0.000 0.000
Pu2 Pu 0.250 0.250 0.500
Ag1 Ag 0.000 0.500 0.500
Ag2 Ag 0.250 0.250 0.000
Au1 Au 0.000 0.500 0.000
Se1 Se 0.000 0.243 0.251
Se2 Se 0.229 0.500 0.227
Se3 Se 0.248 0.500 0.744
# - Total magnetization: 26.330 μB per cell
# - Electronic total energy: -0.4558 Ry per atom